# Sc2CuRuC

Sc2CuRuC after structural relaxation (PBE, Alexandria via LeMat-Bulk). Values from VASP.

## Properties
Crystal system ... tetragonal
Volume ... 79 Å³/cell
E_form ... -0.3490 eV/atom
Total energy ... -37.004 eV for the cell shown
Magnetic moment ... 0.00 μB per formula unit

```
&SYSTEM
  ibrav = 0, nat = 5, ntyp = 4
/
ATOMIC_SPECIES
Sc 44.96 Sc.upf
Cu 63.55 Cu.upf
Ru 101.07 Ru.upf
C 12.01 C.upf
CELL_PARAMETERS angstrom
4.526 0.000 0.000
0.000 4.526 0.000
0.000 0.000 3.855
ATOMIC_POSITIONS crystal
Sc 0.000 0.500 0.000
Sc 0.500 0.000 0.000
Cu 0.000 0.000 0.500
Ru 0.500 0.500 0.500
C 0.500 0.500 0.000
```